The following is a SCAN calculation of TcMo at its PBEsol-relaxed geometry, from Alexandria.

```
data_TcMo
_chemical_formula_sum 'Tc4 Mo4'
_cell_length_a 3.096
_cell_length_b 4.353
_cell_length_c 8.724
_cell_angle_alpha 90.00
_cell_angle_beta 90.00
_cell_angle_gamma 90.00
_space_group_name_H-M_alt 'I m m a'
_space_group_IT_number 74
_space_group_name_Hall '-I 2b 2'
loop_
_atom_site_label
_atom_site_type_symbol
_atom_site_fract_x
_atom_site_fract_y
_atom_site_fract_z
Tc1 Tc 0.000 0.250 0.118
Mo1 Mo 0.000 0.250 0.631
```

Results
Calculated volume = 14.70 Å³ per atom
Offset from the most stable computed form = 0.0 meV/atom
Calculated formation energy = 0.04 eV/atom
Total magnetization = 0.000 μB/atom